[1]
Material: CsKLiBi
Method: DFT, GGA-PBE
State: relaxed

Cell lengths 5.363, 5.363, 7.983 Å; angles 70.37, 70.37, 60.00 degrees
Fractional positions:
Cs1 0.829 0.829 0.513
K1 0.018 0.018 0.947
Li1 0.273 0.273 0.181
Bi1 0.606 0.606 0.182

VASP energy = -2.300 eV per atom
DOS at the Fermi energy = 0.27 states/eV per atom
ΔH_f (0 K) = -0.364 eV/atom
total magnetic moment = 0.00 Bohr magnetons per cell

=====

[2]
Material: Dy8ZnTe4S3
Method: DFT, GGA-PBE
State: relaxed

Cell lengths 8.211, 8.457, 8.211 Å; angles 119.05, 120.00, 90.00 degrees
Fractional positions:
Dy1 0.239 0.714 0.975
Dy2 0.239 0.714 0.477
Dy3 0.265 0.296 0.530
Dy4 0.736 0.714 0.975
Dy5 0.264 0.286 0.025
Dy6 0.735 0.704 0.470
Dy7 0.761 0.286 0.523
Dy8 0.761 0.286 0.025
Zn1 0.000 0.500 0.000
Te1 0.500 0.000 0.000
Te2 0.500 0.000 0.500
Te3 0.000 0.000 0.000
Te4 0.000 0.000 0.500
S1 0.500 0.500 0.000
S2 0.500 0.500 0.500
S3 0.000 0.500 0.500

VASP energy = -5.379 eV per atom
DOS at the Fermi energy = 0.54 states/eV per atom
energy relative to the elements, uncorrected = -1.44 eV per atom
total magnetic moment = 0.00 Bohr magnetons per cell

=====

Look up the total magnetic moment of the first one. 0.00 Bohr magnetons per cell

=====

What is the DOS at the Fermi energy in the first record? 0.27 states/eV per atom

=====

The highest VASP energy belongs to which entry? CsKLiBi

=====

VASP energy of number 1 (CsKLiBi)? -2.300 eV per atom